The following is a DFT calculation (meta-GGA SCAN) of ZrInCl2 at its PBEsol-relaxed geometry.

Cell lengths 3.1314, 5.3129, 5.3129 Å; angles 109.15, 90.00, 90.00 degrees
Fractional positions:
Cl 0.0000 0.0000 0.5000
In 0.5000 0.0000 0.0000
Cl 0.0000 0.5000 0.0000
Zr 0.5000 0.5000 0.5000

Energy relative to the lowest polymorph listed for this composition   1.74 eV per formula unit
Energy relative to the elements, uncorrected   -0.4716 eV/atom

The following is a DFT calculation (meta-GGA SCAN) of ScTaTl at its PBEsol-relaxed geometry.

Cell lengths 3.4064, 3.4064, 5.7775 Å; angles 107.15, 107.15, 90.00 degrees
Fractional positions:
Ta 0.6661 0.6661 0.3322
Sc 0.0032 0.0032 0.0064
Tl 0.3307 0.3307 0.6615

Energy relative to the lowest polymorph listed for this composition   0.05 eV per formula unit
E_form   14.4 kJ/mol of atoms

The following is a DFT calculation (meta-GGA SCAN) of Ca2InCu at its PBEsol-relaxed geometry.

Cell lengths 4.1436, 4.5260, 6.0170 Å; angles 90.00, 110.19, 90.00 degrees
Fractional positions:
Ca 0.6023 0.5000 0.3303
In 0.3131 0.5000 0.7513
Cu 0.1881 0.0000 0.5006
Ca 0.8965 0.0000 0.9178

E_form   -28.3 kJ/mol of atoms

The following is a DFT calculation (meta-GGA SCAN) of Mg5Ru at its PBEsol-relaxed geometry.

Cell lengths 3.3514, 3.3514, 10.2896 Å; angles 90.00, 90.00, 90.00 degrees
Fractional positions:
Ru 0.5000 0.5000 0.0000
Mg 0.5000 0.5000 0.3032
Mg 0.0000 0.0000 0.1281
Mg 0.0000 0.0000 0.8719
Mg 0.0000 0.0000 0.5000
Mg 0.5000 0.5000 0.6968

Energy relative to the lowest polymorph listed for this composition   0.14 eV per formula unit
E_form   -1.4 kJ/mol of atoms

The following is a DFT calculation (meta-GGA SCAN) of LiGa2Pt2 at its PBEsol-relaxed geometry.

Cell lengths 2.7886, 7.4186, 7.4186 Å; angles 90.00, 90.00, 90.00 degrees
Fractional positions:
Pt 0.0000 0.3547 0.8547
Ga 0.5000 0.1538 0.6538
Ga 0.5000 0.8462 0.3462
Ga 0.5000 0.6538 0.8462
Pt 0.0000 0.6453 0.1453
Ga 0.5000 0.3462 0.1538
Pt 0.0000 0.1453 0.3547
Li 0.0000 0.5000 0.5000
Li 0.0000 0.0000 0.0000
Pt 0.0000 0.8547 0.6453

E_form   -75.8 kJ/mol of atoms

The following is a DFT calculation (meta-GGA SCAN) of SrCd2Pd2 at its PBEsol-relaxed geometry.

Cell lengths 4.2826, 4.2826, 6.7269 Å; angles 108.56, 108.56, 90.00 degrees
Fractional positions:
Sr 0.0000 0.0000 0.0000
Pd 0.3922 0.3922 0.7845
Cd 0.2500 0.7500 0.5000
Pd 0.6078 0.6078 0.2155
Cd 0.7500 0.2500 0.5000

Energy relative to the lowest polymorph listed for this composition   0.00 eV per formula unit
E_form   -49.1 kJ/mol of atoms

The following is a DFT calculation (meta-GGA SCAN) of YAlCuCl2 at its PBEsol-relaxed geometry.

Cell lengths 4.5666, 4.5666, 5.5880 Å; angles 90.00, 90.00, 90.00 degrees
Fractional positions:
Cl 0.5000 0.0000 0.0000
Cl 0.0000 0.5000 0.0000
Al 0.5000 0.5000 0.5000
Cu 0.0000 0.0000 0.0000
Y 0.0000 0.0000 0.5000

Energy relative to the elements, uncorrected   -0.1118 eV/atom

The following is a DFT calculation (meta-GGA SCAN) of Y3ReH at its PBEsol-relaxed geometry.

Cell lengths 4.5790, 4.5790, 4.5790 Å; angles 90.00, 90.00, 90.00 degrees
Fractional positions:
Y 0.0000 0.0000 0.5000
Y 0.0000 0.5000 0.0000
Y 0.5000 0.0000 0.0000
Re 0.5000 0.5000 0.5000
H 0.0000 0.0000 0.0000

The following is a DFT calculation (meta-GGA SCAN) of CuIr2Cl at its PBEsol-relaxed geometry.

Cell lengths 2.7906, 2.7906, 7.4003 Å; angles 90.00, 90.00, 90.00 degrees
Fractional positions:
Cu 0.5000 0.5000 0.7640
Ir 0.0000 0.0000 0.0002
Ir 0.5000 0.5000 0.2340
Cl 0.0000 0.0000 0.5019

Energy relative to the lowest polymorph listed for this composition   0.00 eV per formula unit
Energy relative to the elements, uncorrected   0.4570 eV/atom

The following is a DFT calculation (meta-GGA SCAN) of OsBrO3 at its PBEsol-relaxed geometry.

Cell lengths 3.8761, 3.8761, 3.8761 Å; angles 90.00, 90.00, 90.00 degrees
Fractional positions:
O 0.0000 0.0000 0.5000
O 0.5000 0.0000 0.0000
O 0.0000 0.5000 0.0000
Br 0.5000 0.5000 0.5000
Os 0.0000 0.0000 0.0000

Energy relative to the elements, uncorrected   -0.2240 eV/atom

The following is a DFT calculation (meta-GGA SCAN) of AlSn3Au at its PBEsol-relaxed geometry.

Cell lengths 5.2932, 5.2932, 5.2932 Å; angles 90.00, 90.00, 90.00 degrees
Fractional positions:
Sn 0.5000 0.0000 0.0000
Sn 0.0000 0.5000 0.0000
Au 0.0000 0.0000 0.0000
Sn 0.0000 0.0000 0.5000
Al 0.5000 0.5000 0.5000

E_form   56.5 kJ/mol of atoms

The following is a DFT calculation (meta-GGA SCAN) of POsRh2 at its PBEsol-relaxed geometry.

Cell lengths 2.7821, 4.1979, 5.1998 Å; angles 113.81, 105.52, 90.00 degrees
Fractional positions:
Rh 0.7560 0.2560 0.5119
Os 0.5446 0.5446 0.0892
Rh 0.9524 0.9524 0.9047
P 0.2470 0.7470 0.4941

E_form   -15.6 kJ/mol of atoms

| no. | E_tot (eV per atom) | total magnetic moment (μB/atom) |
| --- | --- | --- |
| 1 | -20.482 | 0.00 |
| 2 | -50.910 | 0.00 |
| 3 | -17.272 | 0.00 |
| 4 | -9.964 | 0.00 |
| 5 | -35.879 | 0.00 |
| 6 | -30.239 | 0.00 |
| 7 | -13.462 | 0.00 |
| 8 | -31.447 | 0.00 |
| 9 | -40.887 | 0.00 |
| 10 | -22.231 | 0.00 |
| 11 | -36.349 | 0.00 |
| 12 | -37.617 | 0.00 |